A plane-wave DFT calculation with PBE was carried out for a relaxed ZnNiTe crystal.

a = 4.258 Å, b = 4.258 Å, c = 4.258 Å
α = 60.00°, β = 60.00°, γ = 60.00°
Fractional coordinates of all 3 atoms:
Ni  0.750  0.750  0.750
Te  0.000  0.000  0.000
Zn  0.500  0.500  0.500

E_form (uncorrected)   -0.19 eV per atom